## w
# IrWC2

IrWC2 after structural relaxation (PBE, the Alexandria database).

Output
Symmetry: No. 122

```
IrWC2
1.0
4.6886 0.0000 0.0000
0.0000 4.6886 0.0000
0.0000 0.0000 9.3476
Ir W C
4 4 8
Cartesian
0.0000 0.0000 0.0000 Ir
0.0000 2.3443 2.3369 Ir
2.3443 0.0000 7.0107 Ir
2.3443 2.3443 4.6738 Ir
0.0000 0.0000 4.6738 W
0.0000 2.3443 7.0107 W
2.3443 0.0000 2.3369 W
2.3443 2.3443 0.0000 W
1.1671 1.1721 1.1685 C
1.1721 3.5114 3.5054 C
1.1721 3.5214 8.1792 C
1.1772 1.1721 5.8423 C
3.5114 3.5164 5.8423 C
3.5164 1.1671 8.1792 C
3.5164 1.1772 3.5054 C
3.5214 3.5164 1.1685 C
```

## x
# IrWC2

IrWC2 after structural relaxation (PBE, the Alexandria database).

Output
Symmetry: No. 225

```
IrWC2
1.0
5.4599 0.0000 0.0000
0.0000 5.4599 0.0000
0.0000 0.0000 5.4599
Ir W C
4 4 8
Cartesian
0.0000 0.0000 0.0000 Ir
0.0000 2.7299 2.7299 Ir
2.7299 0.0000 2.7299 Ir
2.7299 2.7299 0.0000 Ir
0.0000 0.0000 2.7299 W
0.0000 2.7299 0.0000 W
2.7299 0.0000 0.0000 W
2.7299 2.7299 2.7299 W
1.3650 1.3650 1.3650 C
1.3650 1.3650 4.0949 C
1.3650 4.0949 1.3650 C
1.3650 4.0949 4.0949 C
4.0949 1.3650 1.3650 C
4.0949 1.3650 4.0949 C
4.0949 4.0949 1.3650 C
4.0949 4.0949 4.0949 C
```

w takes first place; second place is 62.6 kJ/mol of atoms up.

## w
# IrW3C

IrW3C after structural relaxation (PBE, the Alexandria database).

Output
Symmetry: No. 221

```
IrW3C
1.0
4.1280 0.0000 0.0000
0.0000 4.1280 0.0000
0.0000 0.0000 4.1280
Ir W C
1 3 1
Cartesian
0.0000 0.0000 0.0000 Ir
0.0000 2.0640 2.0640 W
2.0640 0.0000 2.0640 W
2.0640 2.0640 0.0000 W
2.0640 2.0640 2.0640 C
```

## x
# IrW3C

IrW3C after structural relaxation (PBE, the Alexandria database).

Output
Symmetry: No. 221

```
IrW3C
1.0
4.7420 0.0000 0.0000
0.0000 4.7420 0.0000
0.0000 0.0000 4.7420
Ir W C
1 3 1
Cartesian
0.0000 0.0000 0.0000 Ir
0.0000 0.0000 2.3710 W
0.0000 2.3710 0.0000 W
2.3710 0.0000 0.0000 W
2.3710 2.3710 2.3710 C
```

w takes first place; second place is 302.3 kJ/mol of atoms up.

## w
# Y2Ir2C

Y2Ir2C after structural relaxation (PBE, the Alexandria database).

Output
Symmetry: No. 127

```
Y2Ir2C
1.0
5.8132 0.0000 0.0000
0.0000 5.8132 0.0000
0.0000 0.0000 5.0380
Y Ir C
4 4 2
Cartesian
0.9957 1.9109 0.0000 Y
1.9109 4.8175 0.0000 Y
3.9023 0.9957 0.0000 Y
4.8175 3.9023 0.0000 Y
0.9596 3.8662 2.5190 Ir
1.9470 0.9596 2.5190 Ir
3.8662 4.8536 2.5190 Ir
4.8536 1.9470 2.5190 Ir
0.0000 0.0000 2.5190 C
2.9066 2.9066 2.5190 C
```

## x
# Y2Ir2C

Y2Ir2C after structural relaxation (PBE, the Alexandria database).

Output
Symmetry: No. 139

```
Y2Ir2C
1.0
5.5825 0.0000 0.0000
0.0000 5.5825 0.0000
0.0000 0.0000 6.6488
Y Ir C
4 4 2
Cartesian
0.0000 2.7913 1.6622 Y
0.0000 2.7913 4.9866 Y
2.7913 0.0000 1.6622 Y
2.7913 0.0000 4.9866 Y
0.0000 0.0000 1.4103 Ir
0.0000 0.0000 5.2386 Ir
2.7913 2.7913 1.9141 Ir
2.7913 2.7913 4.7347 Ir
0.0000 0.0000 3.3244 C
2.7913 2.7913 0.0000 C
```

x takes first place; second place is 19.4 kJ/mol of atoms up.

## w
# YIrC

YIrC after structural relaxation (PBE, the Alexandria database).

Output
Symmetry: No. 2

```
YIrC
1.0
3.8655 0.0000 0.0000
-1.9289 4.3157 0.0000
-0.0073 -1.7385 5.9699
Y Ir C
2 2 2
Cartesian
-0.0015 0.3640 1.8027 Y
1.9308 2.2131 4.1673 Y
0.0035 2.8665 0.4690 Ir
1.9258 -0.2894 5.5009 Ir
0.0006 2.9409 2.4992 C
1.9287 -0.3637 3.4707 C
```

## x
# YIrC

YIrC after structural relaxation (PBE, the Alexandria database).

Output
Symmetry: No. 64

```
YIrC
1.0
4.2599 -3.4560 0.0000
4.2599 3.4560 0.0000
0.0000 0.0000 6.8681
Y Ir C
4 4 4
Cartesian
1.6044 0.0000 0.0000 Y
2.6555 0.0000 3.4340 Y
5.8642 0.0000 3.4340 Y
6.9154 0.0000 0.0000 Y
4.2599 2.4639 4.4128 Ir
4.2599 0.9921 0.9788 Ir
4.2599 -0.9921 5.8893 Ir
4.2599 -2.4639 2.4552 Ir
4.2599 2.3779 2.3185 C
4.2599 1.0781 5.7525 C
4.2599 -1.0781 1.1156 C
4.2599 -2.3779 4.5496 C
```

w takes first place; second place is 3.1 kJ/mol of atoms up.

## w
# YIrC2

YIrC2 after structural relaxation (PBE, the Alexandria database).

Output
Symmetry: No. 122

```
YIrC2
1.0
4.8429 0.0000 0.0000
0.0000 4.8429 0.0000
0.0000 0.0000 10.6305
Y Ir C
4 4 8
Cartesian
0.0000 0.0000 0.0000 Y
0.0000 2.4215 2.6576 Y
2.4215 0.0000 7.9729 Y
2.4215 2.4215 5.3153 Y
0.0000 0.0000 5.3153 Ir
0.0000 2.4215 7.9729 Ir
2.4215 0.0000 2.6576 Ir
2.4215 2.4215 0.0000 Ir
0.8039 1.2107 6.6441 C
1.2107 3.2254 9.3017 C
1.2107 4.0390 3.9864 C
1.6176 1.2107 1.3288 C
3.2254 3.6322 1.3288 C
3.6322 0.8039 3.9864 C
3.6322 1.6176 9.3017 C
4.0390 3.6322 6.6441 C
```

## x
# YIrC2

YIrC2 after structural relaxation (PBE, the Alexandria database).

Output
Symmetry: No. 225

```
YIrC2
1.0
5.7769 0.0000 0.0000
0.0000 5.7769 0.0000
0.0000 0.0000 5.7769
Y Ir C
4 4 8
Cartesian
0.0000 0.0000 0.0000 Y
0.0000 2.8885 2.8885 Y
2.8885 0.0000 2.8885 Y
2.8885 2.8885 0.0000 Y
0.0000 0.0000 2.8885 Ir
0.0000 2.8885 0.0000 Ir
2.8885 0.0000 0.0000 Ir
2.8885 2.8885 2.8885 Ir
1.4442 1.4442 1.4442 C
1.4442 1.4442 4.3327 C
1.4442 4.3327 1.4442 C
1.4442 4.3327 4.3327 C
4.3327 1.4442 1.4442 C
4.3327 1.4442 4.3327 C
4.3327 4.3327 1.4442 C
4.3327 4.3327 4.3327 C
```

w takes first place; second place is 51.4 kJ/mol of atoms up.

## w
# Zn3IrC

Zn3IrC after structural relaxation (PBE, the Alexandria database).

Output
Symmetry: No. 221

```
Zn3IrC
1.0
4.0556 0.0000 0.0000
0.0000 4.0556 0.0000
0.0000 0.0000 4.0556
Zn Ir C
3 1 1
Cartesian
0.0000 0.0000 2.0278 Zn
0.0000 2.0278 0.0000 Zn
2.0278 0.0000 0.0000 Zn
2.0278 2.0278 2.0278 Ir
0.0000 0.0000 0.0000 C
```

## x
# Zn3IrC

Zn3IrC after structural relaxation (PBE, the Alexandria database).

Output
Symmetry: No. 221

```
Zn3IrC
1.0
4.7969 0.0000 0.0000
0.0000 4.7969 0.0000
0.0000 0.0000 4.7969
Zn Ir C
3 1 1
Cartesian
0.0000 0.0000 2.3984 Zn
0.0000 2.3984 0.0000 Zn
2.3984 0.0000 0.0000 Zn
0.0000 0.0000 0.0000 Ir
2.3984 2.3984 2.3984 C
```

w takes first place; second place is 83.6 kJ/mol of atoms up.